A plane-wave DFT calculation with PBE-GGA was carried out for an optimized crystal structure of KTi2VBr.

Values from the calculation:
- Total magnetic moment: 0.00 μB/f.u.
- Final energy: -4.812 eV per atom
- Calculated density: 3018 kg/m³
- Volume: 29.24 Å³ per atom
- E_form (uncorrected): 723 meV per atom
- Fermi-level density of states: 7.1 states/eV/f.u.

The structure in POSCAR format:
```
KTi2VBr
1.0
4.500 0.000 0.000
0.000 4.500 0.000
0.000 0.000 7.219
K Ti V Br
1 2 1 1
Cartesian
0.000 0.000 0.000
0.000 2.250 3.609
2.250 0.000 3.609
0.000 0.000 3.609
2.250 2.250 0.000
```